Density functional theory data (PBE) for PuNi4Sn12 after structural relaxation.

Geometry as POSCAR:
```
PuNi4Sn12
1.0
-4.616 4.616 4.616
4.616 -4.616 4.616
4.616 4.616 -4.616
Pu Ni Sn
1 4 12
Direct
0.000 0.000 0.000
0.000 0.000 0.500
0.000 0.500 0.000
0.500 0.000 0.000
0.500 0.500 0.500
0.166 0.334 0.501
0.166 0.666 0.832
0.168 0.834 0.334
0.334 0.168 0.834
0.334 0.501 0.166
0.499 0.834 0.666
0.501 0.166 0.334
0.666 0.499 0.834
0.666 0.832 0.166
0.832 0.166 0.666
0.834 0.334 0.168
0.834 0.666 0.499
```

* DFT formation energy: -172.9 meV per atom
* calculated volume: 393.5 Å³/f.u.
* uncorrected energy: -5.20 eV/atom

=====

Density functional theory data (PBE) for LaHoF6 after structural relaxation.

Geometry as POSCAR:
```
LaHoF6
1.0
5.484 0.000 0.000
0.000 5.484 0.000
0.000 0.000 8.050
La Ho F
2 2 12
Direct
0.000 0.000 0.000
0.000 0.000 0.500
0.500 0.500 0.250
0.500 0.500 0.750
0.205 0.249 0.184
0.205 0.249 0.816
0.249 0.795 0.316
0.249 0.795 0.684
0.315 0.340 0.500
0.340 0.685 0.000
0.660 0.315 0.000
0.685 0.660 0.500
0.751 0.205 0.316
0.751 0.205 0.684
0.795 0.751 0.184
0.795 0.751 0.816
```

* formation energy without anion corrections: -4.116 eV/atom
* calculated volume: 121.0 Å³/f.u.
* uncorrected energy: -6.71 eV/atom

=====

Density functional theory data (PBE) for Tl2Hg2F5 after structural relaxation.

Geometry as POSCAR:
```
Tl2Hg2F5
1.0
7.683 -1.807 0.000
7.683 1.807 0.000
-1.267 0.000 7.544
Tl Hg F
2 2 5
Direct
0.124 0.124 0.021
0.876 0.876 0.979
0.321 0.321 0.488
0.679 0.679 0.512
0.098 0.098 0.399
0.321 0.321 0.191
0.500 0.500 0.000
0.679 0.679 0.809
0.902 0.902 0.601
```

* E above lowest polymorph: 29 meV/atom
* formation energy without anion corrections: -1.395 eV/atom
* calculated volume: 209.4 Å³/f.u.
* uncorrected energy: -3.03 eV/atom

=====

Density functional theory data (PBE) for YMgTl after structural relaxation.

Geometry as POSCAR:
```
YMgTl
1.0
3.509 0.000 0.000
0.000 4.754 0.000
0.000 0.000 9.605
Y Mg Tl
2 2 2
Direct
0.000 0.000 0.000
0.500 0.500 0.500
0.000 0.000 0.661
0.500 0.500 0.161
0.000 0.000 0.333
0.500 0.500 0.833
```

* DFT formation energy: -90.2 meV per atom
* calculated volume: 80.1 Å³/f.u.
* uncorrected energy: -3.57 eV/atom

=====

Density functional theory data (PBE) for CaTmCdBi after structural relaxation.

Geometry as POSCAR:
```
CaTmCdBi
1.0
7.704 0.000 0.000
0.000 7.704 0.000
0.000 0.000 7.704
Ca Tm Cd Bi
4 4 4 4
Direct
0.000 0.000 0.000
0.000 0.500 0.500
0.500 0.000 0.500
0.500 0.500 0.000
0.000 0.000 0.500
0.000 0.500 0.000
0.500 0.000 0.000
0.500 0.500 0.500
0.250 0.250 0.250
0.250 0.750 0.750
0.750 0.250 0.750
0.750 0.750 0.250
0.250 0.250 0.750
0.250 0.750 0.250
0.750 0.250 0.250
0.750 0.750 0.750
```

* DFT formation energy: -399.7 meV per atom
* calculated volume: 114.3 Å³/f.u.
* uncorrected energy: -3.22 eV/atom

=====

Density functional theory data (PBE) for Ti2CrTc5B2 after structural relaxation.

Geometry as POSCAR:
```
Ti2CrTc5B2
1.0
9.195 0.000 0.000
0.000 9.195 0.000
0.000 0.000 3.049
Ti Cr Tc B
4 2 10 4
Direct
0.174 0.326 0.000
0.326 0.826 0.000
0.674 0.174 0.000
0.826 0.674 0.000
0.000 0.000 0.000
0.500 0.500 0.000
0.000 0.500 0.500
0.069 0.792 0.500
0.208 0.069 0.500
0.292 0.569 0.500
0.431 0.292 0.500
0.500 0.000 0.500
0.569 0.708 0.500
0.708 0.431 0.500
0.792 0.931 0.500
0.931 0.208 0.500
0.126 0.626 0.000
0.374 0.126 0.000
0.626 0.874 0.000
0.874 0.374 0.000
```

* DFT formation energy: -354.1 meV per atom
* calculated volume: 128.9 Å³/f.u.
* uncorrected energy: -9.41 eV/atom